No. 1
18
Lattice="6.960 0.000 0.000 -3.480 6.027 0.000 0.000 0.000 12.488" Properties=species:S:1:pos:R:3 comment="PBE-GGA CaMnAgBr6, relaxed" dos_ef_per_ev_cell=6.74 final_energy_ev_per_atom=-3.6735 formation_energy_uncorrected_mev_per_atom=-1000.2 crystal_system=trigonal total_magnetization_mub_per_fu=4.00 pbc="T T T"
Ca 0.000 4.018 3.122
Ca 3.480 2.009 9.366
Mn 0.000 4.018 9.366
Mn 3.480 2.009 3.122
Ag 0.000 0.000 0.000
Ag 0.000 0.000 6.244
Br -1.011 2.183 7.847
Br -2.095 4.060 10.885
Br 1.011 2.183 10.885
Br -1.084 5.811 7.847
Br 2.396 0.216 1.603
Br 1.385 1.967 4.641
Br 2.095 4.060 7.847
Br 1.084 5.811 10.885
Br 4.563 0.216 4.641
Br 2.469 3.844 1.603
Br 5.574 1.967 1.603
Br 4.491 3.844 4.641

No. 2
10
Lattice="3.560 2.055 6.591 -3.560 2.055 6.591 0.000 -4.110 6.591" Properties=species:S:1:pos:R:3 comment="PBE-GGA CaMnAg2Br6, relaxed" dos_ef_per_ev_cell=0.00 final_energy_ev_per_atom=-3.6315 formation_energy_uncorrected_mev_per_atom=-940.4 crystal_system=trigonal total_magnetization_mub_per_fu=4.94 pbc="T T T"
Ca 0.000 0.000 0.000
Mn 0.000 0.000 9.887
Ag 0.000 0.000 3.734
Ag 0.000 0.000 16.039
Br -0.994 -1.983 8.336
Br -2.214 -0.130 11.437
Br -1.220 1.852 8.336
Br 1.220 -1.852 11.437
Br 2.214 0.130 8.336
Br 0.994 1.983 11.437

No. 3
18
Lattice="2.138 -9.083 0.000 2.138 9.083 0.000 0.000 0.000 14.901" Properties=species:S:1:pos:R:3 comment="PBE-GGA Na2CaAgBr5, relaxed" dos_ef_per_ev_cell=0.00 final_energy_ev_per_atom=-3.1864 formation_energy_uncorrected_mev_per_atom=-1424.7 crystal_system=orthorhombic total_magnetization_mub_per_fu=0.00 pbc="T T T"
Na 2.138 7.920 7.451
Na 2.138 7.620 3.335
Na 2.138 -7.620 10.785
Na 2.138 -7.920 0.000
Ca 2.138 4.517 13.204
Ca 2.138 -4.517 5.753
Ag 2.138 1.776 4.022
Ag 2.138 -1.776 11.472
Br 2.138 7.429 13.206
Br 2.138 4.916 7.658
Br 2.138 4.563 3.693
Br 2.138 1.629 12.850
Br 2.138 0.146 1.894
Br 2.138 -0.146 9.345
Br 2.138 -1.629 5.399
Br 2.138 -4.563 11.144
Br 2.138 -4.916 0.207
Br 2.138 -7.429 5.755

No. 4
10
Lattice="3.681 2.125 6.673 -3.681 2.125 6.673 0.000 -4.250 6.673" Properties=species:S:1:pos:R:3 comment="PBE-GGA NaCa2AgBr6, relaxed" dos_ef_per_ev_cell=0.00 final_energy_ev_per_atom=-3.4012 formation_energy_uncorrected_mev_per_atom=-1580.1 crystal_system=trigonal total_magnetization_mub_per_fu=0.00 pbc="T T T"
Na 0.000 0.000 0.000
Ca 0.000 0.000 6.102
Ca 0.000 0.000 16.110
Ag 0.000 0.000 10.003
Br -2.262 -0.070 7.970
Br -1.382 -2.150 11.292
Br 1.192 -1.924 7.970
Br -1.171 2.272 11.292
Br 1.070 1.994 7.970
Br 2.553 -0.122 11.292

No. 5
12
Lattice="6.740 0.000 0.000 -0.740 6.995 0.000 -0.037 -0.031 8.487" Properties=species:S:1:pos:R:3 comment="PBE-GGA CaNpAg2Br8, relaxed" dos_ef_per_ev_cell=4.60 final_energy_ev_per_atom=-3.9385 formation_energy_uncorrected_mev_per_atom=-1102.8 crystal_system=triclinic total_magnetization_mub_per_fu=2.97 pbc="T T T"
Ca 0.000 0.000 0.000
Np -0.019 -0.015 4.243
Ag 2.955 3.470 6.438
Ag 3.008 3.494 2.049
Br 0.854 5.903 2.239
Br 0.841 5.893 6.253
Br 1.527 2.395 0.012
Br 1.563 2.293 4.246
Br 4.400 4.671 4.241
Br 4.436 4.569 8.475
Br 5.122 1.071 2.233
Br 5.109 1.061 6.247

No. 6
18
Lattice="7.322 0.000 0.000 -3.661 6.341 0.000 0.000 0.000 12.903" Properties=species:S:1:pos:R:3 comment="PBE-GGA CaNpAgBr6, relaxed" dos_ef_per_ev_cell=16.87 final_energy_ev_per_atom=-4.3936 formation_energy_uncorrected_mev_per_atom=-1301.3 crystal_system=trigonal total_magnetization_mub_per_fu=4.00 pbc="T T T"
Ca 0.000 4.227 3.226
Ca 3.661 2.114 9.678
Np 0.000 4.227 9.678
Np 3.661 2.114 3.226
Ag 0.000 0.000 0.000
Ag 0.000 0.000 6.452
Br -1.229 2.155 8.070
Br -2.409 4.199 11.285
Br 1.229 2.155 11.285
Br -1.180 6.328 8.070
Br 2.481 0.013 1.618
Br 1.252 2.142 4.833
Br 2.409 4.199 8.070
Br 1.180 6.328 11.285
Br 4.841 0.013 4.833
Br 2.432 4.186 1.618
Br 6.070 2.142 1.618
Br 4.890 4.186 4.833

No. 7
10
Lattice="7.386 0.000 0.000 3.681 6.429 0.000 3.648 2.131 6.963" Properties=species:S:1:pos:R:3 comment="PBE-GGA CaAg2PbBr6, relaxed" dos_ef_per_ev_cell=0.00 final_energy_ev_per_atom=-3.1378 formation_energy_uncorrected_mev_per_atom=-992.9 crystal_system=triclinic total_magnetization_mub_per_fu=0.00 pbc="T T T"
Ca 0.000 0.000 0.000
Ag 3.669 2.145 1.609
Ag 11.039 6.403 6.715
Pb 7.349 4.275 3.819
Br 4.788 4.211 5.297
Br 6.072 6.262 1.699
Br 8.586 6.508 5.336
Br 6.311 2.185 1.665
Br 8.649 2.070 5.314
Br 9.684 4.409 1.649

No. 8
18
Lattice="6.824 0.000 0.000 0.000 6.824 0.000 0.000 0.000 13.105" Properties=species:S:1:pos:R:3 comment="PBE-GGA CaAgPbBr6, relaxed" dos_ef_per_ev_cell=13.29 final_energy_ev_per_atom=-3.0630 formation_energy_uncorrected_mev_per_atom=-996.5 crystal_system=tetragonal total_magnetization_mub_per_fu=0.00 pbc="T T T"
Ca 0.000 0.000 0.000
Ca 3.412 3.412 6.552
Ag 0.000 0.000 4.381
Ag 3.412 3.412 10.934
Pb 0.000 0.000 8.753
Pb 3.412 3.412 2.201
Br 1.306 1.306 2.296
Br 1.345 1.345 6.461
Br 1.394 1.394 10.948
Br 2.018 4.806 4.396
Br 2.067 4.757 13.014
Br 2.106 4.718 8.848
Br 4.718 2.106 8.848
Br 4.757 2.067 13.014
Br 4.806 2.018 4.396
Br 5.430 5.430 10.948
Br 5.479 5.479 6.461
Br 5.518 5.518 2.296

No. 9
10
Lattice="6.099 0.000 0.000 0.339 7.622 0.000 2.545 3.565 6.885" Properties=species:S:1:pos:R:3 comment="PBE-GGA CaAg2PdBr6, relaxed" final_energy_ev_per_atom=-3.0710 formation_energy_uncorrected_mev_per_atom=-777.6 crystal_system=triclinic total_magnetization_mub_per_fu=0.00 pbc="T T T"
Ca 0.000 0.000 0.000
Ag 3.272 5.712 3.164
Ag 5.804 2.232 3.268
Pd 3.235 3.795 0.018
Br 1.310 7.495 2.641
Br 4.085 5.908 5.811
Br 4.842 9.311 5.688
Br 4.070 1.817 1.261
Br 4.942 5.198 1.149
Br 7.670 3.833 4.226

No. 10
18
Lattice="6.899 0.000 0.000 0.000 6.899 0.000 0.000 0.000 12.922" Properties=species:S:1:pos:R:3 comment="PBE-GGA CaPmAgBr6, relaxed" dos_ef_per_ev_cell=0.00 final_energy_ev_per_atom=-3.7391 formation_energy_uncorrected_mev_per_atom=-1556.8 crystal_system=tetragonal total_magnetization_mub_per_fu=0.00 pbc="T T T"
Ca 0.000 0.000 0.000
Ca 3.450 3.450 6.461
Pm 0.000 0.000 4.328
Pm 3.450 3.450 10.789
Ag 0.000 0.000 8.634
Ag 3.450 3.450 2.173
Br 1.358 1.358 2.186
Br 1.373 1.373 6.472
Br 1.391 1.391 10.766
Br 2.058 4.841 4.305
Br 2.076 4.823 0.011
Br 2.091 4.808 8.647
Br 4.808 2.091 8.647
Br 4.823 2.076 0.011
Br 4.841 2.058 4.305
Br 5.508 5.508 10.766
Br 5.526 5.526 6.472
Br 5.541 5.541 2.186

No. 11
18
Lattice="7.321 0.000 0.000 -3.660 6.340 0.000 0.000 0.000 12.834" Properties=species:S:1:pos:R:3 comment="PBE-GGA CaPuAgBr6, relaxed" dos_ef_per_ev_cell=24.81 final_energy_ev_per_atom=-4.6383 formation_energy_uncorrected_mev_per_atom=-1391.4 crystal_system=trigonal total_magnetization_mub_per_fu=5.00 pbc="T T T"
Ca 0.000 4.227 3.208
Ca 3.660 2.113 9.625
Pu 0.000 4.227 9.625
Pu 3.660 2.113 3.208
Ag 0.000 0.000 0.000
Ag 0.000 0.000 6.417
Br -1.223 2.157 8.029
Br -2.404 4.203 11.221
Br 1.223 2.157 11.221
Br -1.181 6.321 8.029
Br 2.479 0.019 1.613
Br 1.256 2.137 4.804
Br 2.404 4.203 8.029
Br 1.181 6.321 11.221
Br 4.842 0.019 4.804
Br 2.437 4.183 1.613
Br 6.065 2.137 1.613
Br 4.883 4.183 4.804

No. 12
18
Lattice="2.236 -10.076 0.000 2.236 10.076 0.000 0.000 0.000 14.300" Properties=species:S:1:pos:R:3 comment="PBE-GGA Rb2CaAgBr5, relaxed" dos_ef_per_ev_cell=0.00 final_energy_ev_per_atom=-3.2332 formation_energy_uncorrected_mev_per_atom=-1549.6 crystal_system=orthorhombic total_magnetization_mub_per_fu=0.00 pbc="T T T"
Rb 2.236 7.873 7.150
Rb 2.236 7.507 1.917
Rb 2.236 -7.507 9.067
Rb 2.236 -7.873 0.000
Ca 2.236 5.904 11.970
Ca 2.236 -5.904 4.820
Ag 2.236 1.095 3.739
Ag 2.236 -1.095 10.888
Br 2.236 8.816 12.400
Br 2.236 4.310 6.769
Br 2.236 3.944 2.852
Br 2.236 3.050 11.748
Br 2.236 0.019 8.520
Br 2.236 -0.019 1.370
Br 2.236 -3.050 4.598
Br 2.236 -3.944 10.002
Br 2.236 -4.310 13.919
Br 2.236 -8.816 5.251